No. 1
The following is a DFT calculation (PBE-GGA) of a relaxed structure of VGaCuIr.

- SG = F-43m (216)
- DFT total energy (eV/atom) = -6.55

Cell lengths 4.2635, 4.2635, 4.2635 Å; angles 60.00, 60.00, 60.00 degrees
Positions (direct):
V1 0.0000 0.0000 0.0000
Ga1 0.5000 0.5000 0.5000
Cu1 0.7500 0.7500 0.7500
Ir1 0.2500 0.2500 0.2500

No. 2
The following is a DFT calculation (PBE-GGA) of a relaxed structure of GaCuIr2W.

- SG = P4/mmm (123)
- DFT total energy (eV/atom) = -6.10

Cell lengths 4.7627, 4.7627, 4.8087 Å; angles 90.00, 90.00, 90.00 degrees
Positions (direct):
Ga1 0.0000 0.0000 0.0000
Cu1 0.5000 0.5000 0.0000
Ir1 0.0000 0.5000 0.5000
Ir2 0.5000 0.0000 0.5000
W1 0.5000 0.5000 0.5000

No. 3
The following is a DFT calculation (PBE-GGA) of a relaxed structure of Y2Ga3CuIr4.

- SG = P-4m2 (115)
- DFT total energy (eV/atom) = -6.76

Cell lengths 4.1373, 4.1373, 10.5307 Å; angles 90.00, 90.00, 90.00 degrees
Positions (direct):
Y1 0.0000 0.5000 0.2459
Y2 0.5000 0.0000 0.7541
Ga1 0.0000 0.5000 0.8687
Ga2 0.5000 0.0000 0.1313
Ga3 0.5000 0.5000 0.5000
Cu1 0.0000 0.0000 0.5000
Ir1 0.0000 0.0000 0.0000
Ir2 0.0000 0.5000 0.6378
Ir3 0.5000 0.0000 0.3622
Ir4 0.5000 0.5000 0.0000

No. 4
The following is a DFT calculation (PBE-GGA) of a relaxed structure of Y2Ga4CuIr3.

- SG = P-4m2 (115)
- DFT total energy (eV/atom) = -6.21

Cell lengths 4.0158, 4.0158, 11.1983 Å; angles 90.00, 90.00, 90.00 degrees
Positions (direct):
Y1 0.0000 0.5000 0.2453
Y2 0.5000 0.0000 0.7547
Ga1 0.0000 0.0000 0.0000
Ga2 0.0000 0.5000 0.6324
Ga3 0.5000 0.0000 0.3676
Ga4 0.5000 0.5000 0.0000
Cu1 0.0000 0.0000 0.5000
Ir1 0.0000 0.5000 0.8570
Ir2 0.5000 0.0000 0.1430
Ir3 0.5000 0.5000 0.5000